DFT (GGA+U) results for a relaxed structure of Li2Pr3VO8.

N(E_F), states/eV/atom: 0.000
Electronic total energy, eV per atom: -7.1936
Magnetic moment, μB/f.u.: 0.0
Crystal system: trigonal

abc: 5.4130 5.4130 6.9365
angles: 90.00 90.00 120.00
Space group P-3m1 (No. 164)
Asymmetric unit:
Li (0.3333, 0.6667, 0.2002) (multiplicity 2)
Pr (0.0000, 0.0000, 0.0000) (multiplicity 1)
Pr (0.3333, 0.6667, 0.6394) (multiplicity 2)
V (0.0000, 0.0000, 0.5000) (multiplicity 1)
O (0.1599, 0.3198, 0.3356) (multiplicity 6)
O (0.3333, 0.6667, 0.9464) (multiplicity 2)